Entry 1:
RbTeF2: optimized geometry, PBE.

**M_tot**: 0.0 Bohr magnetons per cell
**Energy above the lowest structure with this stoichiometry**: 1.80 eV per formula unit
**Density of states at the Fermi level**: 0.840 states/eV/atom
**ΔE_f (raw)**: -1398 meV/atom

a b c (Å): 6.2284 6.2284 6.2284
angles (deg): 110.72 110.72 107.00
Closest atoms and distances in Å follow each position.
Sites, in units of the cell vectors:
Rb 0.0000 0.0000 0.0000  4 F 2.83
Rb 0.7500 0.2500 0.5000  4 F 2.83
Te 0.2500 0.7500 0.5000  4 F 2.52
Te 0.5000 0.5000 0.0000  4 F 2.52
F 0.1579 0.6250 0.0329  2 Te 2.52
F 0.3750 0.4079 0.5329  2 Te 2.52
F 0.5921 0.1250 0.9671  2 Te 2.52
F 0.8750 0.8421 0.4671  2 Te 2.52



Entry 2:
ZrSeO: optimized geometry, PBE.

**M_tot**: 0.0 Bohr magnetons per cell
**Energy above the lowest structure with this stoichiometry**: 0.49 eV per formula unit
**Density of states at the Fermi level**: 0.023 states/eV/atom
**ΔE_f (raw)**: -2144 meV/atom

a b c (Å): 3.6891 3.6891 4.1159
angles (deg): 90.00 90.00 120.00
Closest atoms and distances in Å follow each position.
Sites, in units of the cell vectors:
Zr 0.0000 0.0000 0.0000  3 O 2.13
Se 0.3333 0.6667 0.5000  6 Zr 2.96, 6 O 2.96
O 0.6667 0.3333 0.0000  3 Zr 2.13



Entry 3:
Rb2TaI: optimized geometry, PBE.

**M_tot**: 4.0 Bohr magnetons per cell
**Energy above the lowest structure with this stoichiometry**: 0.03 eV per formula unit
**Density of states at the Fermi level**: 1.704 states/eV/atom
**ΔE_f (raw)**: 911 meV/atom

a b c (Å): 6.3649 6.3649 6.3649
angles (deg): 60.00 60.00 60.00
Closest atoms and distances in Å follow each position.
Sites, in units of the cell vectors:
Rb 0.2500 0.2500 0.2500  4 I 3.90, 4 Ta 3.90
Rb 0.7500 0.7500 0.7500  4 Ta 3.90, 4 I 3.90
Ta 0.0000 0.0000 0.0000  8 Rb 3.90
I 0.5000 0.5000 0.5000  8 Rb 3.90



Entry 4:
CuSeF6: optimized geometry, PBE.

**M_tot**: 0.3 Bohr magnetons per cell
**Density of states at the Fermi level**: 0.445 states/eV/atom
**ΔE_f (raw)**: -1570 meV/atom

a b c (Å): 5.5610 5.5610 5.5610
angles (deg): 57.03 57.03 57.03
Closest atoms and distances in Å follow each position.
Sites, in units of the cell vectors:
Cu 0.0000 0.0000 0.0000  6 F 2.04
Se 0.5000 0.5000 0.5000  6 F 1.93
F 0.1620 0.7432 0.3525  1 Se 1.93, 1 Cu 2.04
F 0.2568 0.6475 0.8380  1 Se 1.93, 1 Cu 2.04
F 0.3525 0.1620 0.7432  1 Se 1.93, 1 Cu 2.04
F 0.6475 0.8380 0.2568  1 Se 1.93, 1 Cu 2.04
F 0.7432 0.3525 0.1620  1 Se 1.93, 1 Cu 2.04
F 0.8380 0.2568 0.6475  1 Se 1.93, 1 Cu 2.04